Entry a
Entry from Alexandria via LeMat-Bulk: a relaxed KNa2AgPb crystal (PBE).

Unit cell a=5.771 b=5.771 c=5.498 alpha=90.00 beta=90.00 gamma=90.00
Fractional positions:
1 K 0.000 0.000 0.000
2 Na 0.000 0.500 0.500
3 Na 0.500 0.000 0.500
4 Ag 0.500 0.500 0.500
5 Pb 0.500 0.500 0.000

Values from the calculation:
Spin magnetization (Bohr magnetons per cell): 0.00
Space-group type: P4/mmm (123)



Entry b
Entry from Alexandria via LeMat-Bulk: a relaxed KNa2AgPb crystal (PBE).

Unit cell a=5.998 b=5.998 c=5.500 alpha=90.00 beta=90.00 gamma=90.00
Fractional positions:
1 K 0.000 0.000 0.000
2 Na 0.000 0.500 0.500
3 Na 0.500 0.000 0.500
4 Ag 0.500 0.500 0.000
5 Pb 0.500 0.500 0.500

Values from the calculation:
Spin magnetization (Bohr magnetons per cell): 0.00
Space-group type: P4/mmm (123)



Stability order, top to bottom: entry a, entry b



Entry a
Entry from Alexandria via LeMat-Bulk: a relaxed K2RbNaAg crystal (PBE).

Unit cell a=6.927 b=6.927 c=5.747 alpha=90.00 beta=90.00 gamma=90.00
Fractional positions:
1 K 0.000 0.500 0.000
2 K 0.500 0.000 0.000
3 Rb 0.000 0.000 0.500
4 Na 0.500 0.500 0.000
5 Ag 0.500 0.500 0.500

Values from the calculation:
Spin magnetization (Bohr magnetons per cell): 0.00
Space-group type: P4/mmm (123)



Entry b
Entry from Alexandria via LeMat-Bulk: a relaxed K2RbNaAg crystal (PBE).

Unit cell a=6.733 b=6.733 c=6.086 alpha=90.00 beta=90.00 gamma=90.00
Fractional positions:
1 K 0.000 0.500 0.000
2 K 0.500 0.000 0.000
3 Rb 0.000 0.000 0.500
4 Na 0.500 0.500 0.500
5 Ag 0.500 0.500 0.000

Values from the calculation:
Spin magnetization (Bohr magnetons per cell): 0.00
Space-group type: P4/mmm (123)



Stability order, top to bottom: entry b, entry a



Entry a
Entry from Alexandria via LeMat-Bulk: a relaxed KRbNa2Ag crystal (PBE).

Unit cell a=6.077 b=6.077 c=6.530 alpha=90.00 beta=90.00 gamma=90.00
Fractional positions:
1 K 0.000 0.000 0.000
2 Rb 0.500 0.500 0.000
3 Na 0.000 0.500 0.500
4 Na 0.500 0.000 0.500
5 Ag 0.000 0.000 0.500

Values from the calculation:
Spin magnetization (Bohr magnetons per cell): 0.00
Space-group type: P4/mmm (123)



Entry b
Entry from Alexandria via LeMat-Bulk: a relaxed KRbNa2Ag crystal (PBE).

Unit cell a=6.065 b=6.065 c=6.737 alpha=90.00 beta=90.00 gamma=90.00
Fractional positions:
1 K 0.000 0.000 0.000
2 Rb 0.500 0.500 0.000
3 Na 0.000 0.500 0.500
4 Na 0.500 0.000 0.500
5 Ag 0.500 0.500 0.500

Values from the calculation:
Spin magnetization (Bohr magnetons per cell): 0.00
Space-group type: P4/mmm (123)



Stability order, top to bottom: entry a, entry b



Entry a
Entry from Alexandria via LeMat-Bulk: a relaxed KNa2AgSn crystal (PBE).

Unit cell a=5.947 b=5.947 c=5.351 alpha=90.00 beta=90.00 gamma=90.00
Fractional positions:
1 K 0.000 0.000 0.000
2 Na 0.000 0.500 0.500
3 Na 0.500 0.000 0.500
4 Ag 0.500 0.500 0.000
5 Sn 0.500 0.500 0.500

Values from the calculation:
Spin magnetization (Bohr magnetons per cell): 0.00
Space-group type: P4/mmm (123)



Entry b
Entry from Alexandria via LeMat-Bulk: a relaxed KNa2AgSn crystal (PBE).

Unit cell a=5.761 b=5.761 c=5.257 alpha=90.00 beta=90.00 gamma=90.00
Fractional positions:
1 K 0.000 0.000 0.000
2 Na 0.000 0.500 0.500
3 Na 0.500 0.000 0.500
4 Ag 0.500 0.500 0.500
5 Sn 0.500 0.500 0.000

Values from the calculation:
Spin magnetization (Bohr magnetons per cell): 0.00
Space-group type: P4/mmm (123)



Stability order, top to bottom: entry b, entry a



Entry a
Entry from Alexandria via LeMat-Bulk: a relaxed KNaSr2Ag crystal (PBE).

Unit cell a=6.253 b=6.253 c=6.480 alpha=90.00 beta=90.00 gamma=90.00
Fractional positions:
1 K 0.000 0.000 0.000
2 Na 0.500 0.500 0.000
3 Sr 0.000 0.500 0.500
4 Sr 0.500 0.000 0.500
5 Ag 0.000 0.000 0.500

Values from the calculation:
Spin magnetization (Bohr magnetons per cell): 0.00
Space-group type: P4/mmm (123)



Entry b
Entry from Alexandria via LeMat-Bulk: a relaxed KNaSr2Ag crystal (PBE).

Unit cell a=6.276 b=6.276 c=6.102 alpha=90.00 beta=90.00 gamma=90.00
Fractional positions:
1 K 0.000 0.000 0.000
2 Na 0.500 0.500 0.000
3 Sr 0.000 0.500 0.500
4 Sr 0.500 0.000 0.500
5 Ag 0.500 0.500 0.500

Values from the calculation:
Spin magnetization (Bohr magnetons per cell): 0.00
Space-group type: P4/mmm (123)



Stability order, top to bottom: entry b, entry a



Entry a
Entry from Alexandria via LeMat-Bulk: a relaxed KNaZnAg crystal (PBE).

Unit cell a=5.291 b=5.291 c=5.291 alpha=60.00 beta=60.00 gamma=60.00
Fractional positions:
1 K 0.000 0.000 0.000
2 Na 0.250 0.250 0.250
3 Zn 0.750 0.750 0.750
4 Ag 0.500 0.500 0.500

Values from the calculation:
Spin magnetization (Bohr magnetons per cell): 0.00
Space-group type: F-43m (216)



Entry b
Entry from Alexandria via LeMat-Bulk: a relaxed KNaZnAg crystal (PBE).

Unit cell a=4.628 b=4.628 c=7.360 alpha=108.11 beta=108.11 gamma=60.71
Fractional positions:
1 K 0.000 0.000 0.000
2 Na 0.191 0.191 0.571
3 Zn 0.782 0.782 0.343
4 Ag 0.449 0.449 0.348

Values from the calculation:
Spin magnetization (Bohr magnetons per cell): 0.00
Space-group type: Cm (8)



Stability order, top to bottom: entry b, entry a



Entry a
Entry from Alexandria via LeMat-Bulk: a relaxed KNbAg3 crystal (PBE).

Unit cell a=5.338 b=5.338 c=5.338 alpha=90.00 beta=90.00 gamma=90.00
Fractional positions:
1 K 0.000 0.000 0.000
2 Nb 0.500 0.500 0.500
3 Ag 0.000 0.500 0.500
4 Ag 0.500 0.000 0.500
5 Ag 0.500 0.500 0.000

Values from the calculation:
Spin magnetization (Bohr magnetons per cell): 0.85
Space-group type: Pm-3m (221)



Entry b
Entry from Alexandria via LeMat-Bulk: a relaxed KNbAg3 crystal (PBE).

Unit cell a=5.224 b=5.224 c=5.224 alpha=90.00 beta=90.00 gamma=90.00
Fractional positions:
1 K 0.000 0.000 0.000
2 Nb 0.500 0.500 0.500
3 Ag 0.000 0.000 0.500
4 Ag 0.000 0.500 0.000
5 Ag 0.500 0.000 0.000

Values from the calculation:
Spin magnetization (Bohr magnetons per cell): 3.07
Space-group type: Pm-3m (221)



Stability order, top to bottom: entry a, entry b



Entry a
Entry from Alexandria via LeMat-Bulk: a relaxed KNb3Ag crystal (PBE).

Unit cell a=5.135 b=5.135 c=5.135 alpha=90.00 beta=90.00 gamma=90.00
Fractional positions:
1 K 0.000 0.000 0.000
2 Nb 0.000 0.500 0.500
3 Nb 0.500 0.000 0.500
4 Nb 0.500 0.500 0.000
5 Ag 0.500 0.500 0.500

Values from the calculation:
Spin magnetization (Bohr magnetons per cell): 2.98
Space-group type: Pm-3m (221)



Entry b
Entry from Alexandria via LeMat-Bulk: a relaxed KNb3Ag crystal (PBE).

Unit cell a=4.637 b=4.637 c=4.637 alpha=90.00 beta=90.00 gamma=90.00
Fractional positions:
1 K 0.000 0.000 0.000
2 Nb 0.000 0.000 0.500
3 Nb 0.000 0.500 0.000
4 Nb 0.500 0.000 0.000
5 Ag 0.500 0.500 0.500

Values from the calculation:
Spin magnetization (Bohr magnetons per cell): 0.00
Space-group type: Pm-3m (221)



Stability order, top to bottom: entry a, entry b



Entry a
Entry from Alexandria via LeMat-Bulk: a relaxed K2NiAg crystal (PBE).

Unit cell a=10.697 b=10.697 c=10.697 alpha=18.61 beta=18.61 gamma=18.61
Fractional positions:
1 K 0.245 0.245 0.245
2 K 0.755 0.755 0.755
3 Ni 0.500 0.500 0.500
4 Ag 0.000 0.000 0.000

Values from the calculation:
Spin magnetization (Bohr magnetons per cell): 0.02
Space-group type: R-3m (166)



Entry b
Entry from Alexandria via LeMat-Bulk: a relaxed K2NiAg crystal (PBE).

Unit cell a=3.636 b=3.636 c=9.765 alpha=90.00 beta=90.00 gamma=90.00
Fractional positions:
1 K 0.000 0.000 0.000
2 K 0.500 0.500 0.427
3 Ni 0.000 0.000 0.688
4 Ag 0.500 0.500 0.746

Values from the calculation:
Spin magnetization (Bohr magnetons per cell): 0.23
Space-group type: P4mm (99)



Stability order, top to bottom: entry b, entry a



Entry a
Entry from Alexandria via LeMat-Bulk: a relaxed K2NiAg crystal (PBE).

Unit cell a=5.327 b=5.327 c=5.327 alpha=119.87 beta=119.87 gamma=90.23
Fractional positions:
1 K 0.000 0.000 0.000
2 K 0.750 0.250 0.500
3 Ni 0.500 0.500 0.000
4 Ag 0.250 0.750 0.500

Values from the calculation:
Spin magnetization (Bohr magnetons per cell): 0.48
Space-group type: I-4m2 (119)



Entry b
Entry from Alexandria via LeMat-Bulk: a relaxed K2NiAg crystal (PBE).

Unit cell a=3.917 b=3.917 c=8.350 alpha=90.00 beta=90.00 gamma=90.00
Fractional positions:
1 K 0.000 0.000 0.238
2 K 0.000 0.000 0.762
3 Ni 0.500 0.500 0.000
4 Ag 0.500 0.500 0.500

Values from the calculation:
Spin magnetization (Bohr magnetons per cell): 0.83
Space-group type: P4/mmm (123)



Entry c
Entry from Alexandria via LeMat-Bulk: a relaxed K2NiAg crystal (PBE).

Unit cell a=8.412 b=8.412 c=8.412 alpha=95.05 beta=95.05 gamma=145.50
Fractional positions:
1 K 0.375 0.213 0.338
2 K 0.787 0.125 0.162
3 K 0.875 0.037 0.662
4 K 0.963 0.625 0.838
5 Ni 0.000 0.000 0.000
6 Ni 0.750 0.250 0.500
7 Ag 0.250 0.750 0.500
8 Ag 0.500 0.500 0.000

Values from the calculation:
Spin magnetization (Bohr magnetons per cell): 0.00
Space-group type: I-42d (122)



Stability order, top to bottom: entry c, entry a, entry b



Entry a
Entry from Alexandria via LeMat-Bulk: a relaxed K2NiAg crystal (PBE).

Unit cell a=5.327 b=5.327 c=4.322 alpha=90.00 beta=90.00 gamma=110.83
Fractional positions:
1 K 0.000 0.500 0.000
2 K 0.500 0.000 0.000
3 Ni 0.000 0.000 0.500
4 Ag 0.500 0.500 0.500

Values from the calculation:
Spin magnetization (Bohr magnetons per cell): 0.25
Space-group type: Cmmm (65)



Entry b
Entry from Alexandria via LeMat-Bulk: a relaxed K2NiAg crystal (PBE).

Unit cell a=4.417 b=4.417 c=9.182 alpha=103.50 beta=103.50 gamma=59.95
Fractional positions:
1 K 0.000 0.000 0.000
2 K 0.165 0.165 0.510
3 Ni 0.416 0.416 0.255
4 Ag 0.749 0.749 0.255

Values from the calculation:
Spin magnetization (Bohr magnetons per cell): 0.00
Space-group type: Cm (8)



Entry c
Entry from Alexandria via LeMat-Bulk: a relaxed K2NiAg crystal (PBE).

Unit cell a=6.009 b=6.009 c=6.009 alpha=134.72 beta=123.31 gamma=75.35
Fractional positions:
1 K 0.000 0.000 0.000
2 K 0.695 0.195 0.500
3 Ni 0.387 0.387 0.000
4 Ag 0.294 0.794 0.500

Values from the calculation:
Spin magnetization (Bohr magnetons per cell): 0.12
Space-group type: Imm2 (44)



Stability order, top to bottom: entry b, entry c, entry a



Entry a
Entry from Alexandria via LeMat-Bulk: a relaxed K2NiAg crystal (PBE).

Unit cell a=5.628 b=5.628 c=5.628 alpha=60.00 beta=60.00 gamma=60.00
Fractional positions:
1 K 0.250 0.250 0.250
2 K 0.750 0.750 0.750
3 Ni 0.000 0.000 0.000
4 Ag 0.500 0.500 0.500

Values from the calculation:
Spin magnetization (Bohr magnetons per cell): 0.82
Space-group type: Fm-3m (225)



Entry b
Entry from Alexandria via LeMat-Bulk: a relaxed K2NiAg crystal (PBE).

Unit cell a=4.313 b=4.385 c=6.090 alpha=90.00 beta=90.12 gamma=90.00
Fractional positions:
1 K 0.002 0.000 0.244
2 K 0.998 0.000 0.756
3 Ni 0.500 0.500 0.000
4 Ag 0.500 0.500 0.500

Values from the calculation:
Spin magnetization (Bohr magnetons per cell): 0.31
Space-group type: P2/m (10)



Entry c
Entry from Alexandria via LeMat-Bulk: a relaxed K2NiAg crystal (PBE).

Unit cell a=4.726 b=6.101 c=6.101 alpha=50.28 beta=90.00 gamma=90.00
Fractional positions:
1 K 0.000 0.000 0.000
2 K 0.500 0.299 0.299
3 Ni 0.000 0.681 0.681
4 Ag 0.500 0.611 0.611

Values from the calculation:
Spin magnetization (Bohr magnetons per cell): 0.13
Space-group type: Amm2 (38)



Stability order, top to bottom: entry c, entry b, entry a